Here is an optimized crystal structure of Cs2Na4Pb from the Alexandria database. Energies are from PBE-GGA.

a = 6.207 Å, b = 6.207 Å, c = 20.625 Å
α = 90.00°, β = 90.00°, γ = 90.00°
Space group I4/mmm (No. 139)
Symmetry-distinct sites (fractional):
Cs 0.000 0.000 0.141 x4
Na 0.000 0.000 0.350 x4
Na 0.000 0.500 0.000 x4
Pb 0.000 0.000 0.500 x2

Values from the calculation:
Crystal system: tetragonal
Energy of formation from the pure elements in meV/atom: -18